Entry 1:
CoCuIr2Cl | PBE | relaxed

Lattice parameters (Å, degrees): 4.587 4.587 4.471 90.00 90.00 90.00
Space group P4/mmm (No. 123)
Unique sites:
Co (0.000, 0.000, 0.000) x1
Cu (0.000, 0.000, 0.500) x1
Ir (0.000, 0.500, 0.500) x2
Cl (0.500, 0.500, 0.000) x1

D(E_F) in states/eV/f.u.: 8.337
Formation energy (no corrections) in eV per formula unit: 8.68
Electronic total energy in hartree per atom: -0.16234

Entry 2:
K2CoCuCl6 | PBE | relaxed

Lattice parameters (Å, degrees): 6.500 6.500 10.751 90.00 90.00 90.00
Space group I4 (No. 79)
Unique sites:
K (0.000, 0.500, 0.000) x4
Co (0.000, 0.000, 0.250) x2
Cu (0.000, 0.000, 0.749) x2
Cl (0.000, 0.000, 0.037) x2
Cl (0.000, 0.000, 0.463) x2
Cl (0.196, 0.699, 0.250) x8

D(E_F) in states/eV/f.u.: 1.489
Formation energy (no corrections) in eV per formula unit: -10.85
Electronic total energy in hartree per atom: -0.12984

Entry 3:
KCo2CuCl8 | PBE | relaxed

Lattice parameters (Å, degrees): 6.2326 6.2326 27.6402 90.00 90.00 120.00
Space group R-3 (No. 148, hexagonal axes)
Unique sites:
K (0.0000, 0.0000, 0.0000) x3
Co (0.0000, 0.0000, 0.2430) x6
Cu (0.0000, 0.0000, 0.5000) x3
Cl (0.0000, 0.0000, 0.3220) x6
Cl (0.0022, 0.3224, 0.4472) x18

D(E_F) in states/eV/f.u.: 9.102
Formation energy (no corrections) in eV per formula unit: -9.09
Electronic total energy in hartree per atom: -0.13252

Entry 4:
LaCoCu2Cl | PBE | relaxed

Lattice parameters (Å, degrees): 5.497 5.497 5.342 90.00 90.00 90.00
Space group P4/mmm (No. 123)
Unique sites:
La (0.000, 0.000, 0.000) x1
Co (0.500, 0.500, 0.500) x1
Cu (0.000, 0.500, 0.000) x2
Cl (0.000, 0.000, 0.500) x1

D(E_F) in states/eV/f.u.: 2.781
Formation energy (no corrections) in eV per formula unit: 4.45
Electronic total energy in hartree per atom: -0.12951

Entry 5:
CoCuNCl2 | PBE | relaxed

Lattice parameters (Å, degrees): 4.831 4.831 3.392 90.00 90.00 90.00
Space group P4/mmm (No. 123)
Unique sites:
Co (0.000, 0.000, 0.000) x1
Cu (0.500, 0.500, 0.500) x1
N (0.000, 0.000, 0.500) x1
Cl (0.000, 0.500, 0.000) x2

D(E_F) in states/eV/f.u.: 2.114
Formation energy (no corrections) in eV per formula unit: 1.77
Electronic total energy in hartree per atom: -0.15763

Entry 6:
NaCo2CuCl6 | PBE | relaxed

Lattice parameters (Å, degrees): 12.907 12.226 6.905 90.00 111.20 90.00
Space group C2/c (No. 15)
Unique sites:
Na (0.000, 0.113, 0.250) x4
Co (0.191, 0.422, 0.207) x8
Cu (0.000, 0.212, 0.750) x4
Cl (0.116, 0.258, 0.072) x8
Cl (0.121, 0.080, 0.667) x8
Cl (0.133, 0.439, 0.480) x8

Formation energy (no corrections) in eV per formula unit: -7.72
Electronic total energy in hartree per atom: -0.14121

Entry 7:
NaCoCuCl6 | PBE | relaxed

Lattice parameters (Å, degrees): 6.1471 6.1471 6.1592 90.00 90.00 120.00
Space group P312 (No. 149)
Unique sites:
Na (0.0000, 0.0000, 0.0000) x1
Co (0.6667, 0.3333, 0.5000) x1
Cu (0.3333, 0.6667, 0.5000) x1
Cl (0.3780, 0.0217, 0.7115) x6

D(E_F) in states/eV/f.u.: 5.674
Formation energy (no corrections) in eV per formula unit: -6.92
Electronic total energy in hartree per atom: -0.12464

Entry 8:
Na2CoCuCl6 | PBE | relaxed

Lattice parameters (Å, degrees): 6.559 6.565 6.645 119.53 90.04 119.97
Space group P1 (No. 1)
Unique sites:
Na (0.000, 0.000, 0.000) x1
Na (0.493, 0.986, 0.479) x1
Co (0.780, 0.560, 0.341) x1
Cu (0.275, 0.550, 0.826) x1
Cl (0.021, 0.475, 0.102) x1
Cl (0.109, 0.039, 0.587) x1
Cl (0.454, 0.082, 0.102) x1
Cl (0.547, 0.657, 0.587) x1
Cl (0.627, 0.648, 0.102) x1
Cl (0.931, 0.478, 0.588) x1

Formation energy (no corrections) in eV per formula unit: -9.86
Electronic total energy in hartree per atom: -0.12782

Entry 9:
NaCoCu2Cl8 | PBE | relaxed

Lattice parameters (Å, degrees): 8.609 8.609 7.724 90.00 90.00 90.00
Space group I-4m2 (No. 119)
Unique sites:
Na (0.000, 0.000, 0.000) x2
Co (0.000, 0.500, 0.750) x2
Cu (0.000, 0.000, 0.500) x2
Cu (0.000, 0.500, 0.250) x2
Cl (0.000, 0.207, 0.680) x8
Cl (0.000, 0.325, 0.038) x8

D(E_F) in states/eV/f.u.: 9.965
Formation energy (no corrections) in eV per formula unit: -5.94
Electronic total energy in hartree per atom: -0.11432

Entry 10:
Nd6Co2CuCl3 | PBE | relaxed

Lattice parameters (Å, degrees): 6.982 12.118 7.848 90.00 107.19 90.00
Space group C2/m (No. 12)
Unique sites:
Nd (0.216, 0.000, 0.204) x4
Nd (0.244, 0.324, 0.204) x8
Co (0.000, 0.167, 0.000) x4
Cu (0.000, 0.500, 0.000) x2
Cl (0.000, 0.000, 0.500) x2
Cl (0.000, 0.331, 0.500) x4

D(E_F) in states/eV/f.u.: 8.553
Formation energy (no corrections) in eV per formula unit: -9.81
Electronic total energy in hartree per atom: -0.19067

Entry 11:
Nd8Co3CuCl4 | PBE | relaxed

Lattice parameters (Å, degrees): 8.0300 8.0300 22.5048 90.00 90.00 120.00
Space group R-3m (No. 166, hexagonal axes)
Unique sites:
Nd (0.0000, 0.0000, 0.2341) x6
Nd (0.0121, 0.5060, 0.7656) x18
Co (0.0000, 0.5000, 0.5000) x9
Cu (0.0000, 0.0000, 0.5000) x3
Cl (0.0000, 0.0000, 0.0000) x3
Cl (0.0000, 0.5000, 0.0000) x9

D(E_F) in states/eV/f.u.: 10.035
Formation energy (no corrections) in eV per formula unit: -13.01
Electronic total energy in hartree per atom: -0.19283

Entry 12:
Nd4CoCuCl2 | PBE | relaxed

Lattice parameters (Å, degrees): 7.033 4.053 7.804 90.00 107.25 90.00
Space group P2/m (No. 10)
Unique sites:
Nd (0.229, 0.000, 0.205) x2
Nd (0.242, 0.500, 0.790) x2
Co (0.000, 0.500, 0.000) x1
Cu (0.500, 0.000, 0.000) x1
Cl (0.000, 0.000, 0.500) x1
Cl (0.500, 0.500, 0.500) x1

D(E_F) in states/eV/f.u.: 7.603
Formation energy (no corrections) in eV per formula unit: -6.31
Electronic total energy in hartree per atom: -0.18503

Entry 13:
CoCuPCl2 | PBE | relaxed

Lattice parameters (Å, degrees): 4.601 4.601 4.747 90.00 90.00 90.00
Space group P4/mmm (No. 123)
Unique sites:
Co (0.000, 0.000, 0.000) x1
Cu (0.500, 0.500, 0.500) x1
P (0.500, 0.500, 0.000) x1
Cl (0.000, 0.500, 0.500) x2

D(E_F) in states/eV/f.u.: 11.700
Formation energy (no corrections) in eV per formula unit: 3.94
Energy above the lowest structure with this stoichiometry in eV per atom: 0.398
Electronic total energy in hartree per atom: -0.12031

Entry 14:
CoCuP2Cl | PBE | relaxed

Lattice parameters (Å, degrees): 4.032 4.032 7.517 90.00 90.00 90.00
Space group P4/mmm (No. 123)
Unique sites:
Co (0.000, 0.000, 0.000) x1
Cu (0.500, 0.500, 0.500) x1
P (0.000, 0.500, 0.000) x2
Cl (0.000, 0.000, 0.500) x1

D(E_F) in states/eV/f.u.: 2.312
Formation energy (no corrections) in eV per formula unit: 2.47
Energy above the lowest structure with this stoichiometry in eV per atom: 0.000
Electronic total energy in hartree per atom: -0.15731

Entry 15:
CoCuPCl2 | PBE | relaxed

Lattice parameters (Å, degrees): 4.780 4.780 4.193 90.00 90.00 90.00
Space group P4/mmm (No. 123)
Unique sites:
Co (0.000, 0.000, 0.000) x1
Cu (0.500, 0.500, 0.500) x1
P (0.000, 0.000, 0.500) x1
Cl (0.000, 0.500, 0.000) x2

D(E_F) in states/eV/f.u.: 1.696
Formation energy (no corrections) in eV per formula unit: 1.95
Energy above the lowest structure with this stoichiometry in eV per atom: 0.000
Electronic total energy in hartree per atom: -0.13494

Entry 16:
CoCuP2Cl | PBE | relaxed

Lattice parameters (Å, degrees): 4.343 4.343 5.181 90.00 90.00 90.00
Space group P4/mmm (No. 123)
Unique sites:
Co (0.000, 0.000, 0.000) x1
Cu (0.500, 0.500, 0.500) x1
P (0.000, 0.500, 0.500) x2
Cl (0.500, 0.500, 0.000) x1

D(E_F) in states/eV/f.u.: 5.050
Formation energy (no corrections) in eV per formula unit: 5.11
Energy above the lowest structure with this stoichiometry in eV per atom: 0.529
Electronic total energy in hartree per atom: -0.13788

Entry 17:
CoCuPbCl6 | PBE | relaxed

Lattice parameters (Å, degrees): 6.3180 6.3180 6.1581 90.00 90.00 120.00
Space group P312 (No. 149)
Unique sites:
Co (0.0000, 0.0000, 0.0000) x1
Cu (0.6667, 0.3333, 0.0000) x1
Pb (0.3333, 0.6667, 0.5000) x1
Cl (0.3109, 0.0265, 0.2128) x6

D(E_F) in states/eV/f.u.: 5.735
Formation energy (no corrections) in eV per formula unit: -6.04
Electronic total energy in hartree per atom: -0.13079

Entry 18:
Pr6Co2CuCl3 | PBE | relaxed

Lattice parameters (Å, degrees): 7.041 12.221 7.901 90.00 107.22 90.00
Space group C2/m (No. 12)
Unique sites:
Pr (0.216, 0.000, 0.204) x4
Pr (0.244, 0.324, 0.204) x8
Co (0.000, 0.167, 0.000) x4
Cu (0.000, 0.500, 0.000) x2
Cl (0.000, 0.000, 0.500) x2
Cl (0.000, 0.331, 0.500) x4

D(E_F) in states/eV/f.u.: 9.018
Formation energy (no corrections) in eV per formula unit: -9.71
Electronic total energy in hartree per atom: -0.19060

Entry 19:
RbCoCuCl4 | PBE | relaxed

Lattice parameters (Å, degrees): 5.769 7.428 9.508 90.00 106.03 90.00
Space group P2_1/m (No. 11)
Unique sites:
Rb (0.208, 0.250, 0.366) x2
Co (0.136, 0.250, 0.783) x2
Cu (0.369, 0.750, 0.140) x2
Cl (0.011, 0.250, 0.990) x2
Cl (0.186, 0.750, 0.416) x2
Cl (0.381, 0.010, 0.779) x4

Formation energy (no corrections) in eV per formula unit: -6.48
Electronic total energy in hartree per atom: -0.13670

Entry 20:
RbCo2CuCl8 | PBE | relaxed

Lattice parameters (Å, degrees): 6.2691 6.2691 28.0328 90.00 90.00 120.00
Space group R-3 (No. 148, hexagonal axes)
Unique sites:
Rb (0.0000, 0.0000, 0.0000) x3
Co (0.0000, 0.0000, 0.2417) x6
Cu (0.0000, 0.0000, 0.5000) x3
Cl (0.0000, 0.0000, 0.3197) x6
Cl (0.0053, 0.3228, 0.4481) x18

D(E_F) in states/eV/f.u.: 9.255
Formation energy (no corrections) in eV per formula unit: -9.26
Electronic total energy in hartree per atom: -0.13265